1.
A geometry-optimized CrRe2Si structure, computed with PBE.

Unit cell a=4.8031 b=4.8031 c=4.8031 alpha=135.08 beta=135.08 gamma=65.40
Fractional coordinates of all 4 atoms:
Cr1 0.0000 0.0000 0.0000
Re1 0.2500 0.7500 0.5000
Re2 0.5000 0.5000 0.0000
Si1 0.7500 0.2500 0.5000

Results
- Energy: -9.939 eV per atom
- Total moment: 0.7 μB/f.u.

***

2.
A geometry-optimized TbPr12Sm6 structure, computed with PBE.

Unit cell a=9.9884 b=9.9884 c=9.9884 alpha=111.96 beta=111.96 gamma=111.96
Fractional coordinates of all 19 atoms:
Tb1 0.0000 0.0000 0.0000
Pr1 0.0865 0.7263 0.7263
Pr2 0.1194 0.5000 0.8806
Pr3 0.1194 0.8806 0.5000
Pr4 0.2737 0.2737 0.9135
Pr5 0.2737 0.9135 0.2737
Pr6 0.5000 0.1194 0.8806
Pr7 0.5000 0.8806 0.1194
Pr8 0.7263 0.0865 0.7263
Pr9 0.7263 0.7263 0.0865
Pr10 0.8806 0.1194 0.5000
Pr11 0.8806 0.5000 0.1194
Pr12 0.9135 0.2737 0.2737
Sm1 0.2716 0.2716 0.5201
Sm2 0.2716 0.5201 0.2716
Sm3 0.4799 0.7284 0.7284
Sm4 0.5201 0.2716 0.2716
Sm5 0.7284 0.4799 0.7284
Sm6 0.7284 0.7284 0.4799

Results
- Formation energy: 302 meV/atom
- Energy: -4.451 eV per atom
- Total moment: 0.0 μB/f.u.
- Distance to the lowest polymorph of the same formula: 0.177 eV per atom

***

3.
A geometry-optimized Dy6Tm8Zr structure, computed with PBE.

Unit cell a=8.4556 b=8.4556 c=8.4556 alpha=63.57 beta=63.57 gamma=63.57
Fractional coordinates of all 15 atoms:
Dy1 0.0454 0.6169 0.7142
Dy2 0.2858 0.9546 0.3831
Dy3 0.3831 0.2858 0.9546
Dy4 0.6169 0.7142 0.0454
Dy5 0.7142 0.0454 0.6169
Dy6 0.9546 0.3831 0.2858
Tm1 0.0761 0.0761 0.0761
Tm2 0.2236 0.6092 0.2479
Tm3 0.2479 0.2236 0.6092
Tm4 0.3908 0.7521 0.7764
Tm5 0.6092 0.2479 0.2236
Tm6 0.7521 0.7764 0.3908
Tm7 0.7764 0.3908 0.7521
Tm8 0.9239 0.9239 0.9239
Zr1 0.5000 0.5000 0.5000

Results
- Formation energy: 126 meV/atom
- Energy: -4.670 eV per atom
- Total moment: 0.0 μB/f.u.
- Distance to the lowest polymorph of the same formula: 0.000 eV per atom

***

4.
A geometry-optimized TbFeMo structure, computed with PBE.

Unit cell a=13.7453 b=13.7453 c=13.7453 alpha=22.28 beta=22.28 gamma=22.28
Fractional coordinates of all 18 atoms:
Tb1 0.0384 0.0384 0.0384
Tb2 0.1808 0.1808 0.1808
Tb3 0.2685 0.2685 0.2685
Tb4 0.7315 0.7315 0.7315
Tb5 0.8192 0.8192 0.8192
Tb6 0.9616 0.9616 0.9616
Fe1 0.0000 0.5000 0.5000
Fe2 0.3831 0.3831 0.3831
Fe3 0.5000 0.0000 0.5000
Fe4 0.5000 0.5000 0.0000
Fe5 0.5000 0.5000 0.5000
Fe6 0.6169 0.6169 0.6169
Mo1 0.2218 0.7258 0.7258
Mo2 0.2742 0.2742 0.7782
Mo3 0.2742 0.7782 0.2742
Mo4 0.7258 0.2218 0.7258
Mo5 0.7258 0.7258 0.2218
Mo6 0.7782 0.2742 0.2742

Results
- Formation energy: 47 meV/atom
- Energy: -7.928 eV per atom
- Total moment: 1.1 μB/f.u.

***

Table of V (Å³ per cell), in record order: 54.4 687.6 461.3 327.3